The following is a PBE calculation of a relaxed structure of Mn2VNi6, from the Alexandria database.

```
9
Lattice="5.9993 -3.4664 0.0000 5.9993 3.4664 0.0000 -0.0016 0.0000 2.3896" Properties=species:S:1:pos:R:3 pbc="T T T"
Mn 2.0009 0.0000 0.0003
Mn 9.9960 0.0000 2.3893
V 5.9993 0.0000 0.0000
Ni 3.9879 1.1595 1.2012
Ni 5.9984 2.3232 1.1948
Ni 3.9879 -1.1595 1.2012
Ni 8.0089 1.1595 1.1884
Ni 5.9984 -2.3232 1.1948
Ni 8.0089 -1.1595 1.1884
```

Calculated values
The polymorph energy (0 for the lowest one) is 0 meV/atom. The calculated total energy is -61.8 eV/cell. As for the theoretical density: 8.57 g/cm3. Its size of the total moment is 0.0 μB/cell. Its calculated formation energy is 0.04 eV/atom. Its space group is C2/m.